[1]
Crystalline IrWSe2 at its relaxed geometry, computed with PBE.

a b c (Å): 3.7298 3.9534 12.8574
angles (deg): 90.00 90.00 90.00
Space group Immm (No. 71)
Unique sites:
1 Ir 0.0000 0.0000 0.0000
2 W 0.0000 0.0000 0.5000
3 Se 0.0000 0.5000 0.3661

Calculated values
energy = -7.0280 eV per atom
V = 23.70 Å³/atom
DOS at the Fermi energy = 3.20 states/eV/f.u.
formation energy from raw total energies = 168 meV/atom
distance to the lowest polymorph of the same formula = 134 meV per atom

[2]
Crystalline IrWSe2 at its relaxed geometry, computed with PBE.

a b c (Å): 3.0230 5.1339 8.7512
angles (deg): 90.00 90.00 90.00
Space group Cmmm (No. 65)
Unique sites:
1 Ir 0.0000 0.0000 0.0000
2 W 0.0000 0.0000 0.5000
3 Se 0.0000 0.5000 0.2552

Calculated values
energy = -6.3828 eV per atom
V = 16.98 Å³/atom
DOS at the Fermi energy = 4.08 states/eV/f.u.
formation energy from raw total energies = 813 meV/atom
distance to the lowest polymorph of the same formula = 779 meV per atom

[3]
Crystalline IrW2Se at its relaxed geometry, computed with PBE.

a b c (Å): 3.8498 3.8498 8.6700
angles (deg): 90.00 90.00 90.00
Space group I4/mmm (No. 139)
Unique sites:
1 Ir 0.0000 0.0000 0.0000
2 W 0.0000 0.5000 0.2500
3 Se 0.0000 0.0000 0.5000

Calculated values
energy = -8.9608 eV per atom
V = 16.06 Å³/atom
DOS at the Fermi energy = 2.21 states/eV/f.u.
formation energy from raw total energies = 602 meV/atom
distance to the lowest polymorph of the same formula = 438 meV per atom

[4]
Crystalline IrW2Se at its relaxed geometry, computed with PBE.

a b c (Å): 9.5077 2.9981 4.5621
angles (deg): 90.00 93.33 90.00
Space group C2/m (No. 12)
Unique sites:
1 Ir 0.0000 0.0000 0.0000
2 W 0.2290 0.5000 0.2327
3 Se 0.0000 0.5000 0.5000

Calculated values
energy = -9.1639 eV per atom
V = 16.23 Å³/atom
DOS at the Fermi energy = 2.92 states/eV/f.u.
formation energy from raw total energies = 399 meV/atom
distance to the lowest polymorph of the same formula = 235 meV per atom

[5]
Crystalline IrW2Se at its relaxed geometry, computed with PBE.

a b c (Å): 9.4300 2.9479 4.8003
angles (deg): 90.00 107.25 90.00
Space group Cm (No. 8)
Unique sites:
1 Ir 0.0000 0.0000 0.0000
2 W 0.0155 0.5000 0.4890
3 W 0.2594 0.0000 0.8878
4 Se 0.2656 0.5000 0.3483

Calculated values
energy = -9.2880 eV per atom
V = 15.93 Å³/atom
DOS at the Fermi energy = 2.80 states/eV/f.u.
formation energy from raw total energies = 275 meV/atom
distance to the lowest polymorph of the same formula = 111 meV per atom

[6]
Crystalline IrW2Se at its relaxed geometry, computed with PBE.

a b c (Å): 3.0277 4.5737 9.0661
angles (deg): 90.00 90.00 90.00
Space group Immm (No. 71)
Unique sites:
1 Ir 0.0000 0.0000 0.0000
2 W 0.0000 0.5000 0.2273
3 Se 0.0000 0.0000 0.5000

Calculated values
energy = -9.1672 eV per atom
V = 15.69 Å³/atom
DOS at the Fermi energy = 2.42 states/eV/f.u.
formation energy from raw total energies = 396 meV/atom
distance to the lowest polymorph of the same formula = 232 meV per atom

[7]
Crystalline IrWSe2 at its relaxed geometry, computed with PBE.

a b c (Å): 6.4606 6.4606 6.4606
angles (deg): 90.00 90.00 90.00
Space group F-43m (No. 216)
Unique sites:
1 Ir 0.0000 0.0000 0.0000
2 W 0.2500 0.2500 0.2500
3 Se 0.0000 0.0000 0.5000
4 Se 0.2500 0.2500 0.7500

Calculated values
energy = -6.4445 eV per atom
V = 16.85 Å³/atom
DOS at the Fermi energy = 3.69 states/eV/f.u.
formation energy from raw total energies = 751 meV/atom
distance to the lowest polymorph of the same formula = 717 meV per atom

[8]
Crystalline IrWSe2 at its relaxed geometry, computed with PBE.

a b c (Å): 3.1440 3.1440 25.0148
angles (deg): 90.00 90.00 120.00
Space group R-3m (No. 166, hexagonal axes)
Unique sites:
1 Ir 0.0000 0.0000 0.0000
2 W 0.0000 0.0000 0.5000
3 Se 0.0000 0.0000 0.0954

Calculated values
energy = -6.9943 eV per atom
V = 17.84 Å³/atom
DOS at the Fermi energy = 2.66 states/eV/f.u.
formation energy from raw total energies = 201 meV/atom
distance to the lowest polymorph of the same formula = 167 meV per atom

[9]
Crystalline IrWSe2 at its relaxed geometry, computed with PBE.

a b c (Å): 5.6428 5.6428 11.0321
angles (deg): 90.00 90.00 90.00
Space group I-42d (No. 122)
Unique sites:
1 Ir 0.0000 0.0000 0.0000
2 W 0.0000 0.0000 0.5000
3 Se 0.2485 0.2500 0.1250

Calculated values
energy = -6.6710 eV per atom
V = 21.95 Å³/atom
DOS at the Fermi energy = 2.78 states/eV/f.u.
formation energy from raw total energies = 525 meV/atom
distance to the lowest polymorph of the same formula = 491 meV per atom

[10]
Crystalline IrW2Se at its relaxed geometry, computed with PBE.

a b c (Å): 3.9236 3.9236 8.2832
angles (deg): 90.00 90.00 90.00
Space group I-4m2 (No. 119)
Unique sites:
1 Ir 0.0000 0.0000 0.0000
2 W 0.0000 0.0000 0.5000
3 W 0.0000 0.5000 0.2500
4 Se 0.0000 0.5000 0.7500

Calculated values
energy = -8.9202 eV per atom
V = 15.94 Å³/atom
DOS at the Fermi energy = 4.46 states/eV/f.u.
formation energy from raw total energies = 643 meV/atom
distance to the lowest polymorph of the same formula = 479 meV per atom

[11]
Crystalline IrWSe at its relaxed geometry, computed with PBE.

a b c (Å): 4.2994 4.2994 2.9910
angles (deg): 90.00 90.00 120.00
Space group P-6m2 (No. 187)
Unique sites:
1 Ir 0.0000 0.0000 0.0000
2 W 0.3333 0.6667 0.5000
3 Se 0.6667 0.3333 0.5000

Calculated values
energy = -8.0590 eV per atom
V = 15.96 Å³/atom
DOS at the Fermi energy = 2.78 states/eV/f.u.
formation energy from raw total energies = 374 meV/atom
distance to the lowest polymorph of the same formula = 270 meV per atom

[12]
Crystalline Ir4WSe at its relaxed geometry, computed with PBE.

a b c (Å): 7.3281 7.3281 7.3281
angles (deg): 90.00 90.00 90.00
Space group F-43m (No. 216)
Unique sites:
1 Ir 0.1253 0.1253 0.1253
2 W 0.0000 0.0000 0.5000
3 Se 0.2500 0.2500 0.7500

Calculated values
energy = -7.9189 eV per atom
V = 16.40 Å³/atom
DOS at the Fermi energy = 9.52 states/eV/f.u.
formation energy from raw total energies = 728 meV/atom

[13]
Crystalline IrW2Se at its relaxed geometry, computed with PBE.

a b c (Å): 2.9504 4.5556 9.2852
angles (deg): 90.00 90.00 90.00
Space group Imm2 (No. 44)
Unique sites:
1 Ir 0.0000 0.0000 0.0000
2 W 0.0000 0.0000 0.4572
3 W 0.0000 0.5000 0.2408
4 Se 0.0000 0.5000 0.7355

Calculated values
energy = -9.2822 eV per atom
V = 15.60 Å³/atom
DOS at the Fermi energy = 3.37 states/eV/f.u.
formation energy from raw total energies = 281 meV/atom
distance to the lowest polymorph of the same formula = 117 meV per atom

[14]
Crystalline Zn2IrWSe at its relaxed geometry, computed with PBE.

a b c (Å): 4.8997 4.8997 4.6281
angles (deg): 90.00 90.00 90.00
Space group P4/mmm (No. 123)
Unique sites:
1 Zn 0.0000 0.5000 0.0000
2 Ir 0.0000 0.0000 0.5000
3 W 0.5000 0.5000 0.0000
4 Se 0.5000 0.5000 0.5000

Calculated values
energy = -4.0985 eV per atom
V = 22.22 Å³/atom
DOS at the Fermi energy = 5.95 states/eV/f.u.
formation energy from raw total energies = 1471 meV/atom

[15]
Crystalline ZrIr2WSe at its relaxed geometry, computed with PBE.

a b c (Å): 4.5907 4.5907 4.6006
angles (deg): 90.00 90.00 90.00
Space group P4/mmm (No. 123)
Unique sites:
1 Zr 0.0000 0.0000 0.0000
2 Ir 0.0000 0.5000 0.5000
3 W 0.5000 0.5000 0.0000
4 Se 0.5000 0.5000 0.5000

Calculated values
energy = -7.7428 eV per atom
V = 19.39 Å³/atom
DOS at the Fermi energy = 3.01 states/eV/f.u.
formation energy from raw total energies = 799 meV/atom